(1)
First-principles (PBE) data for an optimized crystal structure of Sm3AgPd2, as listed in the Alexandria database.

The structure in CIF format:
```
data_Sm3AgPd2
_space_group_name_H-M_alt 'P 1'
_space_group_IT_number 1
_cell_length_a 7.779
_cell_length_b 7.779
_cell_length_c 7.779
_cell_angle_alpha 58.41
_cell_angle_beta 58.41
_cell_angle_gamma 58.41
loop_
_space_group_symop_operation_xyz
'x,y,z'
loop_
_atom_site_label
_atom_site_type_symbol
_atom_site_fract_x
_atom_site_fract_y
_atom_site_fract_z
Sm1 Sm 0.458 0.042 0.750
Sm2 Sm 0.042 0.750 0.458
Sm3 Sm 0.750 0.458 0.042
Sm4 Sm 0.542 0.958 0.250
Sm5 Sm 0.958 0.250 0.542
Sm6 Sm 0.250 0.542 0.958
Ag1 Ag 0.500 0.500 0.500
Ag2 Ag 0.000 0.000 0.000
Pd1 Pd 0.353 0.353 0.353
Pd2 Pd 0.147 0.147 0.147
Pd3 Pd 0.853 0.853 0.853
Pd4 Pd 0.647 0.647 0.647
```

Total magnetization, μB per cell: 0.0
Excess energy over the best structure of this formula in the dataset, meV per atom: 84
E_form, eV per atom: -0.52


(2)
First-principles (PBE) data for an optimized crystal structure of Sm4Ag3Pd, as listed in the Alexandria database.

The structure in CIF format:
```
data_Sm4Ag3Pd
_space_group_name_H-M_alt 'P 1'
_space_group_IT_number 1
_cell_length_a 3.673
_cell_length_b 3.673
_cell_length_c 14.793
_cell_angle_alpha 90.00
_cell_angle_beta 90.00
_cell_angle_gamma 90.00
loop_
_space_group_symop_operation_xyz
'x,y,z'
loop_
_atom_site_label
_atom_site_type_symbol
_atom_site_fract_x
_atom_site_fract_y
_atom_site_fract_z
Pd1 Pd 0.500 0.500 0.000
Ag1 Ag 0.500 0.500 0.246
Ag2 Ag 0.500 0.500 0.500
Ag3 Ag 0.500 0.500 0.754
Sm1 Sm 0.000 0.000 0.884
Sm2 Sm 0.000 0.000 0.116
Sm3 Sm 0.000 0.000 0.372
Sm4 Sm 0.000 0.000 0.628
```

Total magnetization, μB per cell: 0.0
E_form, eV per atom: -0.41